Record 1
VASP calculation (PBE) on crystalline BaLaTe2 at its relaxed geometry.

Cell and atoms, written as extended XYZ:
```
8
Lattice="-3.794 3.794 7.427 3.794 -3.794 7.427 3.794 3.794 -7.427" Properties=species:S:1:pos:R:3 pbc="T T T"
Ba 0.000 0.000 0.000
Ba 0.000 3.794 3.714
La 3.794 0.000 3.714
La 0.000 0.000 7.427
Te 1.897 -1.669 5.571
Te 2.125 1.897 1.857
Te 1.897 5.463 -1.857
Te 1.669 1.897 9.284
```

Output
offset from the most stable computed form	414	meV/atom
crystal system	tetragonal

Record 2
VASP calculation (PBE) on crystalline BaLaTe2 at its relaxed geometry.

Cell and atoms, written as extended XYZ:
```
4
Lattice="0.000 4.036 4.036 4.036 0.000 4.036 4.036 4.036 0.000" Properties=species:S:1:pos:R:3 pbc="T T T"
Ba 0.000 0.000 0.000
La 6.055 6.055 6.055
Te 2.018 2.018 2.018
Te 4.036 4.036 4.036
```

Output
offset from the most stable computed form	953	meV/atom
crystal system	cubic

Record 3
VASP calculation (PBE) on crystalline BaLa2Te at its relaxed geometry.

Cell and atoms, written as extended XYZ:
```
4
Lattice="3.556 -6.129 0.000 3.556 6.129 0.000 -2.221 0.000 3.375" Properties=species:S:1:pos:R:3 pbc="T T T"
Ba 0.000 0.000 0.000
La 0.668 3.065 1.687
La 0.668 -3.065 1.687
Te 3.556 0.000 0.000
```

Output
crystal system	monoclinic

Record 4
VASP calculation (PBE) on crystalline BaLaTe2 at its relaxed geometry.

Cell and atoms, written as extended XYZ:
```
4
Lattice="4.095 -2.363 0.000 4.095 2.363 0.000 -2.720 0.000 7.939" Properties=species:S:1:pos:R:3 pbc="T T T"
Ba 0.000 0.000 0.000
La 2.735 0.000 3.970
Te 0.007 0.000 5.783
Te 5.463 0.000 2.156
```

Output
offset from the most stable computed form	0	meV/atom
crystal system	monoclinic

Record 5
VASP calculation (PBE) on crystalline BaLa2Te at its relaxed geometry.

Cell and atoms, written as extended XYZ:
```
4
Lattice="-2.515 2.515 5.516 2.515 -2.515 5.516 2.515 2.515 -5.516" Properties=species:S:1:pos:R:3 pbc="T T T"
Ba 0.000 0.000 0.000
La 2.515 0.000 2.758
La 0.000 2.515 2.758
Te 0.000 0.000 5.516
```

Output
crystal system	tetragonal

Record 6
VASP calculation (PBE) on crystalline BaLaTe2 at its relaxed geometry.

Cell and atoms, written as extended XYZ:
```
4
Lattice="0.000 4.079 4.079 4.079 0.000 4.079 4.079 4.079 0.000" Properties=species:S:1:pos:R:3 pbc="T T T"
Ba 0.000 0.000 0.000
La 4.079 4.079 4.079
Te 2.039 2.039 2.039
Te 6.118 6.118 6.118
```

Output
offset from the most stable computed form	228	meV/atom
crystal system	cubic

V / Å³ per atom: 53.465; 32.881; 36.774; 38.411; 34.883; 33.925
Energy relative to the elements, uncorrected / meV per atom: -1246.5; -707.7; -435.2; -1660.3; -456.6; -1431.9
Total DFT energy (no corrections) / eV/f.u.: -18.1; -16.0; -16.7; -19.8; -16.7; -18.9